(1)
Here is an optimized crystal structure of PmEr5Sn4 from Alexandria. Energies are from PBE.

The total magnetization is 0.1 μB per formula unit. The formation energy from the elements comes out at -395 meV/atom. The density of states at the Fermi level comes out at 22.38 states/eV/cell.

It has space group C2/m (No. 12), with a = 17.697 Å, b = 4.448 Å, c = 7.947 Å, α = 90.00°, β = 102.31° and γ = 90.00°. The inequivalent atoms are Pm at (0.000, 0.000, 0.000), Er at (0.000, 0.000, 0.500), Er at (0.139, 0.500, 0.723), Er at (0.207, 0.500, 0.310), Sn at (0.037, 0.500, 0.283) and Sn at (0.189, 0.000, 0.013).

(2)
Here is an optimized crystal structure of Pm2ErSn from Alexandria. Energies are from PBE.

Its energy above the most stable polymorph in this dataset is 0.0471 eV/atom. The total magnetization is 0.0 μB per formula unit. The formation energy from the elements comes out at -383 meV/atom. The density of states at the Fermi level comes out at 8.69 states/eV/cell.

It has space group Pmmn (No. 59, origin choice 2), with a = 5.640 Å, b = 6.679 Å, c = 6.193 Å, α = 90.00°, β = 90.00° and γ = 90.00°. The inequivalent atoms are Pm at (0.250, 0.001, 0.143), Er at (0.250, 0.250, 0.626) and Sn at (0.250, 0.750, 0.654).

(3)
Here is an optimized crystal structure of Pm5ErSn6 from Alexandria. Energies are from PBE.

The total magnetization is 0.0 μB per formula unit. The formation energy from the elements comes out at -641 meV/atom. The density of states at the Fermi level comes out at 15.67 states/eV/cell.

It has space group C2/m (No. 12), with a = 5.846 Å, b = 14.397 Å, c = 8.587 Å, α = 90.00°, β = 102.02° and γ = 90.00°. The inequivalent atoms are Pm at (0.000, 0.000, 0.000), Pm at (0.000, 0.329, 0.000), Pm at (0.000, 0.338, 0.500), Er at (0.000, 0.000, 0.500), Sn at (0.006, 0.164, 0.744) and Sn at (0.025, 0.500, 0.246).

(4)
Here is an optimized crystal structure of Pm3Er4Sn4 from Alexandria. Energies are from PBE.

The total magnetization is 0.0 μB per formula unit. The formation energy from the elements comes out at -407 meV/atom. The density of states at the Fermi level comes out at 27.11 states/eV/cell.

It has space group Immm (No. 71), with a = 3.875 Å, b = 5.039 Å, c = 33.535 Å, α = 90.00°, β = 90.00° and γ = 90.00°. The inequivalent atoms are Pm at (0.000, 0.000, 0.000), Pm at (0.000, 0.500, 0.146), Er at (0.000, 0.000, 0.262), Er at (0.000, 0.500, 0.406), Sn at (0.000, 0.000, 0.454) and Sn at (0.000, 0.500, 0.316).

(5)
Here is an optimized crystal structure of Pm2ErSn from Alexandria. Energies are from PBE.

Its energy above the most stable polymorph in this dataset is 0.4353 eV/atom. The total magnetization is 0.3 μB per formula unit. The formation energy from the elements comes out at 5 meV/atom. The density of states at the Fermi level comes out at 20.85 states/eV/cell.

It has space group R-3m (No. 166, hexagonal axes), with a = 3.4943 Å, b = 3.4943 Å, c = 35.8873 Å, α = 90.00°, β = 90.00° and γ = 120.00°. The inequivalent atoms are Pm at (0.0000, 0.0000, 0.0932), Er at (0.0000, 0.0000, 0.0000) and Sn at (0.0000, 0.0000, 0.5000).

(6)
Here is an optimized crystal structure of Pm3ErSn2 from Alexandria. Energies are from PBE.

Its energy above the most stable polymorph in this dataset is 0.0830 eV/atom. The total magnetization is 0.2 μB per formula unit. The formation energy from the elements comes out at -497 meV/atom. The density of states at the Fermi level comes out at 27.25 states/eV/cell.

It has space group C2/m (No. 12), with a = 18.174 Å, b = 4.586 Å, c = 9.828 Å, α = 90.00°, β = 115.62° and γ = 90.00°. The inequivalent atoms are Pm at (0.052, 0.000, 0.188), Pm at (0.151, 0.500, 0.981), Pm at (0.191, 0.500, 0.391), Er at (0.114, 0.000, 0.618), Sn at (0.003, 0.500, 0.354) and Sn at (0.249, 0.000, 0.224).

(7)
Here is an optimized crystal structure of Pm5ErSn8 from Alexandria. Energies are from PBE.

The total magnetization is 0.0 μB per formula unit. The formation energy from the elements comes out at -547 meV/atom. The density of states at the Fermi level comes out at 18.24 states/eV/cell.

It has space group I-4 (No. 82), with a = 9.673 Å, b = 9.673 Å, c = 8.811 Å, α = 90.00°, β = 90.00° and γ = 90.00°. The inequivalent atoms are Pm at (0.000, 0.000, 0.000), Pm at (0.112, 0.251, 0.627), Er at (0.000, 0.500, 0.250), Sn at (0.081, 0.181, 0.282) and Sn at (0.083, 0.325, 0.973).

(8)
Here is an optimized crystal structure of Pm6ErSn from Alexandria. Energies are from PBE.

The total magnetization is 0.0 μB per formula unit. The formation energy from the elements comes out at -198 meV/atom. The density of states at the Fermi level comes out at 7.94 states/eV/cell.

It has space group P4/mmm (No. 123), with a = 4.972 Å, b = 4.972 Å, c = 10.252 Å, α = 90.00°, β = 90.00° and γ = 90.00°. The inequivalent atoms are Pm at (0.000, 0.000, 0.000), Pm at (0.000, 0.000, 0.500), Pm at (0.000, 0.500, 0.242), Er at (0.500, 0.500, 0.500) and Sn at (0.500, 0.500, 0.000).

Repeat the third record exactly.
Here is an optimized crystal structure of Pm5ErSn6 from Alexandria. Energies are from PBE.

The total magnetization is 0.0 μB per formula unit. The formation energy from the elements comes out at -641 meV/atom. The density of states at the Fermi level comes out at 15.67 states/eV/cell.

It has space group C2/m (No. 12), with a = 5.846 Å, b = 14.397 Å, c = 8.587 Å, α = 90.00°, β = 102.02° and γ = 90.00°. The inequivalent atoms are Pm at (0.000, 0.000, 0.000), Pm at (0.000, 0.329, 0.000), Pm at (0.000, 0.338, 0.500), Er at (0.000, 0.000, 0.500), Sn at (0.006, 0.164, 0.744) and Sn at (0.025, 0.500, 0.246).

> formation energy from the elements of number 7 (Pm5ErSn8)?

-547 meV/atom

> Which of these has the highest formation energy from the elements?

number 5